Density functional theory data (PBE) for an optimized crystal structure of TaCuBiAu.

Unit cell a=6.737 b=6.737 c=6.737 alpha=90.00 beta=90.00 gamma=90.00
Space group F-43m (No. 216)
Symmetry-distinct sites (fractional):
Ta (0.000, 0.000, 0.000)
Cu (0.000, 0.000, 0.500)
Bi (0.250, 0.250, 0.250)
Au (0.250, 0.250, 0.750)

Computed properties:
- final energy (eV per atom) = -5.248
- theoretical density (g/cm3) = 14.1
- polymorph energy (0 for the lowest one) (meV per atom) = 0
- total magnetic moment (μB/f.u.) = 0.27


Density functional theory data (PBE) for an optimized crystal structure of CuTcBiAu.

Unit cell a=6.566 b=6.566 c=6.566 alpha=90.00 beta=90.00 gamma=90.00
Space group F-43m (No. 216)
Symmetry-distinct sites (fractional):
Cu (0.000, 0.000, 0.000)
Tc (0.000, 0.000, 0.500)
Bi (0.250, 0.250, 0.750)
Au (0.250, 0.250, 0.250)

Computed properties:
- final energy (eV per atom) = -4.886
- theoretical density (g/cm3) = 13.3
- polymorph energy (0 for the lowest one) (meV per atom) = 0
- total magnetic moment (μB/f.u.) = 0.02


Please write out number 1 again, unchanged.
Density functional theory data (PBE) for an optimized crystal structure of TaCuBiAu.

Unit cell a=6.737 b=6.737 c=6.737 alpha=90.00 beta=90.00 gamma=90.00
Space group F-43m (No. 216)
Symmetry-distinct sites (fractional):
Ta (0.000, 0.000, 0.000)
Cu (0.000, 0.000, 0.500)
Bi (0.250, 0.250, 0.250)
Au (0.250, 0.250, 0.750)

Computed properties:
- final energy (eV per atom) = -5.248
- theoretical density (g/cm3) = 14.1
- polymorph energy (0 for the lowest one) (meV per atom) = 0
- total magnetic moment (μB/f.u.) = 0.27


> polymorph energy (0 for the lowest one) of number 2 (CuTcBiAu)?

0 meV per atom


> What is the polymorph energy (0 for the lowest one) in the second record?

0 meV per atom


> Among the records above, which one has the highest total magnetic moment?

TaCuBiAu